ThHg2Pd5 | Alexandria | PBE | optimized geometry; formation energy from the elements = -0.49 eV per atom; V = 149.5 Å³ per cell; N(E_F) = 3.248 states/eV/f.u.; density = 12.9 g/cm³; raw total energy = -37.9 eV/cell; SG = Fmmm (69)
1.0
4.582 0.765 -2.049
0.114 4.644 -2.049
-0.354 -0.408 7.366
Th Hg Pd
1 2 5
Direct
0.000 0.000 0.000
0.269 0.269 0.538
0.731 0.731 0.462
0.500 0.500 0.000
0.625 0.125 0.250
0.125 0.625 0.250
0.375 0.875 0.750
0.875 0.375 0.750